(1)
A plane-wave DFT calculation with PBE was carried out for Sc4NiAg after structural relaxation.

Summary:
Energy relative to the elements (eV/atom): -0.3140
Calculated density (g/cm3): 4.72
N(E_F) (states/eV/f.u.): 6.45
E above lowest polymorph (kJ/mol of formula units): 0

abc: 12.4920 12.4920 12.4920
angles: 90.00 90.00 90.00
Space group F-43m (No. 216)
One atom of each set of equivalent atoms:
Sc: 0.0000 0.0000 0.1858 [24 per cell]
Sc: 0.0634 0.2500 0.7500 [24 per cell]
Sc: 0.1031 0.1031 0.3969 [16 per cell]
Ni: 0.1055 0.1055 0.6055 [16 per cell]
Ag: 0.1665 0.1665 0.1665 [16 per cell]


(2)
A plane-wave DFT calculation with PBE was carried out for ScNiAgSn after structural relaxation.

Summary:
Energy relative to the elements (eV/atom): -0.3637
Calculated density (g/cm3): 7.78
N(E_F) (states/eV/f.u.): 2.36

abc: 6.5558 6.5558 6.5558
angles: 90.00 90.00 90.00
Space group F-43m (No. 216)
One atom of each set of equivalent atoms:
Sc: 0.0000 0.0000 0.0000 [4 per cell]
Ni: 0.2500 0.2500 0.2500 [4 per cell]
Ag: 0.2500 0.2500 0.7500 [4 per cell]
Sn: 0.0000 0.0000 0.5000 [4 per cell]


(3)
A plane-wave DFT calculation with PBE was carried out for ThScNiAg after structural relaxation.

Summary:
Energy relative to the elements (eV/atom): -0.1629
Calculated density (g/cm3): 8.55
N(E_F) (states/eV/f.u.): 4.86

abc: 7.0121 7.0121 7.0121
angles: 90.00 90.00 90.00
Space group F-43m (No. 216)
One atom of each set of equivalent atoms:
Th: 0.0000 0.0000 0.0000 [4 per cell]
Sc: 0.0000 0.0000 0.5000 [4 per cell]
Ni: 0.2500 0.2500 0.2500 [4 per cell]
Ag: 0.2500 0.2500 0.7500 [4 per cell]